CoOsAu | PBE-GGA | optimized geometry

Cell: 2.7407 2.7407 6.7062 Å, 90.00 90.00 120.00°
Site moments in Bohr magnetons follow the coordinates.
Atoms (fractional coordinates):
Co: 0.3333 0.6667 0.3504  1.33
Os: 0.6667 0.3333 0.6382  0.00
Au: 0.0000 0.0000 0.0114  0.03

Properties
Space group: P3m1 (156)
Excess energy over the best structure of this formula in the dataset in eV/atom: 0.001
ΔE_f in eV per atom: 0.34

=====

TeOsC2Cl | PBE-GGA | optimized geometry

Cell: 3.8769 5.0789 3.8769 Å, 90.00 90.00 90.00°
Atoms (fractional coordinates):
C: 0.0000 0.0000 0.5000
Te: 0.0000 0.5000 0.0000
Os: 0.5000 0.5000 0.5000
C: 0.5000 0.0000 0.0000
Cl: 0.0000 0.0000 0.0000

Properties
Space group: P4/mmm (123)
Raw formation energy in eV/atom: 3.138

=====

La8Ir3PtI4 | PBE-GGA | optimized geometry

Cell: 8.5535 9.6057 8.5557 Å, 116.46 119.99 90.00°
Atoms (fractional coordinates):
I: 0.0000 0.0000 0.5000
I: 0.5000 0.0000 0.0000
Ir: 0.5000 0.5000 0.0000
La: 0.7288 0.6860 0.4577
La: 0.2712 0.3140 0.5423
La: 0.7219 0.6856 0.9540
La: 0.2781 0.3144 0.0460
Pt: 0.0000 0.5000 0.0000
Ir: 0.5000 0.5000 0.5000
La: 0.2320 0.6855 0.4640
La: 0.2321 0.6856 0.9540
La: 0.7679 0.3144 0.0460
La: 0.7680 0.3145 0.5360
Ir: 0.0000 0.5000 0.5000
I: 0.5000 0.0000 0.5000
I: 0.0000 0.0000 0.0000

Properties
Space group: R-3m (166)
Raw formation energy in eV/atom: -1.142

=====

Tl4NiBr2 | PBE-GGA | optimized geometry

Cell: 5.1494 5.1494 9.3397 Å, 106.00 106.00 90.00°
Atoms (fractional coordinates):
Tl: 0.8433 0.8433 0.6865
Br: 0.3488 0.3488 0.6976
Br: 0.6512 0.6512 0.3024
Tl: 0.5000 0.0000 0.0000
Tl: 0.1567 0.1567 0.3135
Ni: 0.0000 0.0000 0.0000
Tl: 0.0000 0.5000 0.0000

Properties
Space group: I4/mmm (139)
Raw formation energy in eV/atom: -0.348

=====

ZnCd4 | PBE-GGA | optimized geometry

Cell: 2.9377 3.1164 13.4641 Å, 87.05 83.74 61.88°
Atoms (fractional coordinates):
Cd: 0.8026 0.0000 0.3948
Cd: 0.5928 0.0000 0.8144
Zn: 0.0000 0.0000 0.0000
Cd: 0.4072 0.0000 0.1856
Cd: 0.1974 0.0000 0.6052

Properties
Space group: Fmmm (69)
ΔE_f in eV per atom: 0.04

=====

Tb2NdSm8 | PBE-GGA | optimized geometry

Cell: 6.7253 10.3953 10.3953 Å, 37.97 59.40 59.40°
Atoms (fractional coordinates):
Sm: 0.2309 0.8261 0.3521
Tb: 0.6024 0.7973 0.7973
Sm: 0.2716 0.4092 0.4092
Sm: 0.7691 0.1739 0.6479
Nd: 0.0000 0.0000 0.0000
Sm: 0.7284 0.5908 0.5908
Sm: 0.7691 0.6479 0.1739
Tb: 0.3976 0.2027 0.2027
Sm: 0.8241 0.2441 0.2441
Sm: 0.2309 0.3521 0.8261
Sm: 0.1759 0.7559 0.7559

Properties
Space group: C2/m (12)
Excess energy over the best structure of this formula in the dataset in eV/atom: 0.055
ΔE_f in eV per atom: 0.16